# 1
Computed, not measured: a crystal of Zn2CdNi relaxed with PBEsol at the meta-GGA SCAN level of DFT.

## Properties
Calculated volume: 14.3 Å³/atom

Unit cell a=2.722 b=4.223 c=5.055 alpha=90.00 beta=99.78 gamma=90.00
Space group P2/m (No. 10)
Inequivalent atoms, fractional coordinates:
Zn: 0.197 0.000 0.281 (multiplicity 2)
Cd: 0.500 0.500 0.000 (multiplicity 1)
Ni: 0.000 0.500 0.500 (multiplicity 1)

***

# 2
Computed, not measured: a crystal of Zn2CdNi relaxed with PBEsol at the meta-GGA SCAN level of DFT.

## Properties
Calculated volume: 14.3 Å³/atom

Unit cell a=2.943 b=2.943 c=6.616 alpha=90.00 beta=90.00 gamma=90.00
Space group P4/mmm (No. 123)
Inequivalent atoms, fractional coordinates:
Zn: 0.000 0.000 0.202 (multiplicity 2)
Cd: 0.500 0.500 0.500 (multiplicity 1)
Ni: 0.500 0.500 0.000 (multiplicity 1)

***

Summary of energy of formation from the pure elements in eV/f.u.
0.2 -0.2
(order as listed above)
Summary of total energy in eV per atom
-18.37 -18.46
(order as listed above)